Record 1
The following is a PBE calculation of a geometry-optimized MoRh3Cl structure, from the Alexandria database.

POSCAR file:
```
MoRh3Cl
1.0
-2.648 -0.151 3.501
3.459 -0.812 2.582
0.559 4.314 0.609
Mo Rh Cl
1 3 1
direct
0.500 0.500 0.500
0.000 0.500 0.000
0.000 0.000 0.500
0.500 0.000 0.000
0.000 0.000 0.000
```

Summary:
Relative energy among the computed polymorphs = 0.0 meV/atom
Space group = Pm-3m
Calculated total energy = -29.4 eV per cell
Formation energy without anion corrections = 5.32 eV/f.u.

***

Record 2
The following is a PBE calculation of a geometry-optimized MoRh2Cl structure, from the Alexandria database.

POSCAR file:
```
MoRh2Cl
1.0
4.931 0.005 -0.004
4.112 2.720 -0.004
-0.023 -0.007 4.498
Cl Mo Rh
1 1 2
direct
0.750 0.750 0.750
0.250 0.250 0.250
0.976 0.976 0.007
0.524 0.524 0.493
```

Summary:
Relative energy among the computed polymorphs = 266.2 meV/atom
Space group = C2/m
Calculated total energy = -26.0 eV per cell
Formation energy without anion corrections = 1.34 eV/f.u.